## i
First-principles (PBE) data for an optimized crystal structure of AlCoSb3, as listed in Alexandria.

Cell and atoms, written as CIF:
```
data_AlCoSb3
_symmetry_space_group_name_H-M 'P m -3 m'
_symmetry_Int_Tables_number 221
_symmetry_space_group_name_Hall '-P 4 2 3'
_cell_length_a 5.203
_cell_length_b 5.203
_cell_length_c 5.203
_cell_angle_alpha 90.00
_cell_angle_beta 90.00
_cell_angle_gamma 90.00
loop_
_atom_site_label
_atom_site_fract_x
_atom_site_fract_y
_atom_site_fract_z
Al1 0.000 0.000 0.000
Co1 0.500 0.500 0.500
Sb1 0.000 0.000 0.500
```

Summary:
Magnetic moment: 1.5 μB per formula unit

## ii
First-principles (PBE) data for an optimized crystal structure of AlCoSb3, as listed in Alexandria.

Cell and atoms, written as CIF:
```
data_AlCoSb3
_symmetry_space_group_name_H-M 'P m -3 m'
_symmetry_Int_Tables_number 221
_symmetry_space_group_name_Hall '-P 4 2 3'
_cell_length_a 4.965
_cell_length_b 4.965
_cell_length_c 4.965
_cell_angle_alpha 90.00
_cell_angle_beta 90.00
_cell_angle_gamma 90.00
loop_
_atom_site_label
_atom_site_fract_x
_atom_site_fract_y
_atom_site_fract_z
Al1 0.000 0.000 0.000
Co1 0.500 0.500 0.500
Sb1 0.000 0.500 0.500
```

Summary:
Magnetic moment: 0.0 μB per formula unit

Most stable structure - ii; separation to the second - 63.7 kJ/mol of atoms.